DFT (PBE) results for an optimized crystal structure of TaZnPb2.

Lattice parameters (Å, degrees): 7.931 5.343 3.153 89.83 66.83 128.77
Atoms (fractional coordinates):
Zn: 0.500 0.500 0.000
Pb: 0.000 0.000 0.000
Pb: 0.500 0.000 0.500
Ta: 0.000 0.500 0.500

Summary:
M_tot in μB per cell: 0.0
Formation energy from the elements in meV per atom: 536


DFT (PBE) results for an optimized crystal structure of TaZn2Pb.

Lattice parameters (Å, degrees): 4.121 4.333 4.104 90.00 90.00 90.00
Atoms (fractional coordinates):
Zn: 0.000 0.000 0.000
Zn: 0.500 0.500 0.000
Ta: 0.000 0.500 0.500
Pb: 0.500 0.000 0.500

Summary:
M_tot in μB per cell: 0.0
Formation energy from the elements in meV per atom: 376


DFT (PBE) results for an optimized crystal structure of TaZnPb2.

Lattice parameters (Å, degrees): 5.521 5.521 5.521 136.13 129.22 69.32
Atoms (fractional coordinates):
Zn: 0.250 0.750 0.500
Ta: 0.750 0.250 0.500
Pb: 0.497 0.497 0.000
Pb: 0.003 0.003 0.000

Summary:
M_tot in μB per cell: 0.0
Formation energy from the elements in meV per atom: 586


DFT (PBE) results for an optimized crystal structure of TaZnPb2.

Lattice parameters (Å, degrees): 3.131 3.131 9.657 90.00 90.00 90.00
Atoms (fractional coordinates):
Pb: 0.000 0.000 0.948
Pb: 0.500 0.500 0.296
Zn: 0.500 0.500 0.715
Ta: 0.000 0.000 0.541

Summary:
M_tot in μB per cell: 0.0
Formation energy from the elements in meV per atom: 290


DFT (PBE) results for an optimized crystal structure of TaZnPb4.

Lattice parameters (Å, degrees): 6.282 6.282 6.282 60.00 60.00 60.00
Each line ends with the local moment (μB).
Atoms (fractional coordinates):
Ta: 0.750 0.750 0.750  1.70
Pb: 0.376 0.873 0.376  0.00
Pb: 0.376 0.376 0.376  0.00
Pb: 0.873 0.376 0.376  0.00
Pb: 0.376 0.376 0.873  0.00
Zn: 0.000 0.000 0.000  -0.01

Summary:
M_tot in μB per cell: 2.7
Formation energy from the elements in meV per atom: 940


DFT (PBE) results for an optimized crystal structure of TaZn2Pb.

Lattice parameters (Å, degrees): 6.526 5.151 3.060 89.86 62.30 119.70
Atoms (fractional coordinates):
Ta: 0.500 0.500 0.000
Zn: 0.500 0.000 0.500
Zn: 0.000 0.000 0.000
Pb: 0.000 0.500 0.500

Summary:
M_tot in μB per cell: 0.0
Formation energy from the elements in meV per atom: 329


DFT (PBE) results for an optimized crystal structure of Ta2ZnPb.

Lattice parameters (Å, degrees): 3.575 3.575 6.136 90.00 90.00 90.00
Atoms (fractional coordinates):
Ta: 0.000 0.000 0.041
Ta: 0.500 0.500 0.241
Zn: 0.000 0.000 0.480
Pb: 0.500 0.500 0.739

Summary:
M_tot in μB per cell: 0.0
Formation energy from the elements in meV per atom: 254


DFT (PBE) results for an optimized crystal structure of TaZn2Pb.

Lattice parameters (Å, degrees): 4.077 3.151 6.753 62.04 90.00 90.00
Atoms (fractional coordinates):
Pb: 0.500 0.250 0.250
Zn: 0.000 0.459 0.541
Zn: 0.000 0.041 0.959
Ta: 0.500 0.750 0.750

Summary:
M_tot in μB per cell: 0.0
Formation energy from the elements in meV per atom: 314


DFT (PBE) results for an optimized crystal structure of TaZnPb2.

Lattice parameters (Å, degrees): 3.746 3.746 6.398 90.00 90.00 90.00
Atoms (fractional coordinates):
Ta: 0.000 0.000 0.520
Zn: 0.500 0.500 0.721
Pb: 0.000 0.000 0.974
Pb: 0.500 0.500 0.286

Summary:
M_tot in μB per cell: 0.0
Formation energy from the elements in meV per atom: 490


DFT (PBE) results for an optimized crystal structure of TaZnPb2.

Lattice parameters (Å, degrees): 5.504 5.504 5.513 84.13 84.13 33.11
Atoms (fractional coordinates):
Ta: 0.250 0.250 0.250
Zn: 0.750 0.750 0.750
Pb: 0.510 0.510 0.493
Pb: 0.990 0.990 0.007

Summary:
M_tot in μB per cell: 0.0
Formation energy from the elements in meV per atom: 532


DFT (PBE) results for an optimized crystal structure of Ta2ZnPb.

Lattice parameters (Å, degrees): 3.497 3.497 6.238 90.00 90.00 90.00
Atoms (fractional coordinates):
Ta: 0.000 0.000 0.037
Ta: 0.000 0.000 0.463
Pb: 0.500 0.500 0.750
Zn: 0.500 0.500 0.250

Summary:
M_tot in μB per cell: 0.0
Formation energy from the elements in meV per atom: 516


DFT (PBE) results for an optimized crystal structure of Ta4ZnPb.

Lattice parameters (Å, degrees): 5.567 5.567 5.567 60.00 60.00 60.00
Atoms (fractional coordinates):
Ta: 0.872 0.376 0.376
Ta: 0.376 0.872 0.376
Ta: 0.376 0.376 0.872
Ta: 0.376 0.376 0.376
Pb: 0.000 0.000 0.000
Zn: 0.750 0.750 0.750

Summary:
M_tot in μB per cell: 0.0
Formation energy from the elements in meV per atom: 586


Volume, record by record: 89.8; 73.3; 88.7; 94.7; 175.3; 75.4; 78.4; 76.6; 89.8; 90.7; 76.3; 122.0 Å³ per cell